## La5Ru2Cl2 (PBE-GGA)

Data for an optimized crystal structure of La5Ru2Cl2.

a b c (Å): 15.3626 7.6798 8.4648
angles (deg): 90.00 90.00 90.00
Space group Cmce (No. 64)
One atom of each set of equivalent atoms:
La 0.0000 0.0000 0.0000 x4
La 0.1194 0.1468 0.3381 x16
Ru 0.0000 0.1558 0.6267 x8
Cl 0.1991 0.0000 0.0000 x8

Output
As for the raw formation energy: -7.48 eV/f.u. As for the total energy: -54.37 eV per formula unit. The crystal system is orthorhombic.


## CuAgRu3 (PBE-GGA)

Data for an optimized crystal structure of CuAgRu3.

a b c (Å): 4.5069 4.5069 4.5069
angles (deg): 90.00 90.00 90.00
Space group Pm-3m (No. 221)
One atom of each set of equivalent atoms:
Cu 0.0000 0.0000 0.0000 x1
Ag 0.5000 0.5000 0.5000 x1
Ru 0.0000 0.0000 0.5000 x3

Output
For the energy above the most stable polymorph in this dataset, the calculation gives 0.00 kJ/mol of atoms. The energy relative to the elements comes out at 1659 meV per atom. As for the total energy: -26.48 eV per formula unit. The crystal system is cubic.


## La2ThScP4 (PBE-GGA)

Data for an optimized crystal structure of La2ThScP4.

a b c (Å): 7.0927 4.1310 7.1752
angles (deg): 90.00 109.40 90.00
Space group P2/m (No. 10)
One atom of each set of equivalent atoms:
La 0.0000 0.0000 0.0000 x1
La 0.5000 0.5000 0.0000 x1
Th 0.0000 0.5000 0.5000 x1
Sc 0.5000 0.0000 0.5000 x1
P 0.2546 0.0000 0.7343 x2
P 0.2660 0.5000 0.2716 x2

Output
The energy relative to the elements comes out at -1523 meV per atom. As for the total energy: -57.43 eV per formula unit. The crystal system is monoclinic.


## La2YCd (PBE-GGA)

Data for an optimized crystal structure of La2YCd.

a b c (Å): 5.3494 5.3494 8.8904
angles (deg): 90.00 90.00 90.00
Space group P4/nmm (No. 129, origin choice 2)
One atom of each set of equivalent atoms:
La 0.2500 0.2500 0.2287 x2
La 0.2500 0.7500 0.5000 x2
Y 0.2500 0.2500 0.7874 x2
Cd 0.2500 0.7500 0.0000 x2

Output
The energy relative to the elements comes out at -164 meV per atom. As for the total energy: -17.89 eV per formula unit. The crystal system is tetragonal.


What are the magnetization values for these records? In order: 0.00, 1.03, 0.00, 0.00 μB per atom.